No. 1
Here is a relaxed AcDyHgPd crystal from the Alexandria database. Energies are from PBE-GGA.

a b c (Å): 5.3575 5.3575 5.3575
angles (deg): 60.00 60.00 60.00
Closest atoms and distances in Å follow each position.
Atoms (fractional coordinates):
Ac: 0.0000 0.0000 0.0000  4 Hg 3.28, 4 Pd 3.28
Hg: 0.2500 0.2500 0.2500  4 Ac 3.28, 4 Dy 3.28
Pd: 0.7500 0.7500 0.7500  4 Ac 3.28, 4 Dy 3.28
Dy: 0.5000 0.5000 0.5000  4 Hg 3.28, 4 Pd 3.28

DOS at the Fermi energy = 3.12 states/eV/f.u.
space group = F-43m

---

No. 2
Here is a relaxed AcPrDy2Hg4 crystal from the Alexandria database. Energies are from PBE-GGA.

a b c (Å): 5.4257 5.4257 9.4929
angles (deg): 73.39 73.39 60.00
Closest atoms and distances in Å follow each position.
Atoms (fractional coordinates):
Ac: 0.0000 0.0000 0.0000  8 Hg 3.36-3.41
Pr: 0.5000 0.5000 0.5000  8 Hg 3.25-3.31
Dy: 0.7526 0.7526 0.7422  8 Hg 3.24-3.54
Dy: 0.2474 0.2474 0.2578  8 Hg 3.24-3.54
Hg: 0.3790 0.3790 0.8630  1 Pr 3.25, 4 Dy 3.31-3.54, 3 Ac 3.36
Hg: 0.8731 0.8731 0.3807  4 Dy 3.24-3.32, 3 Pr 3.31, 1 Ac 3.41
Hg: 0.1269 0.1269 0.6193  4 Dy 3.24-3.32, 3 Pr 3.31, 1 Ac 3.41
Hg: 0.6210 0.6210 0.1370  1 Pr 3.25, 4 Dy 3.31-3.54, 3 Ac 3.36

DOS at the Fermi energy = 8.82 states/eV/f.u.
space group = R-3m

---

No. 3
Here is a relaxed AcDyHgPt crystal from the Alexandria database. Energies are from PBE-GGA.

a b c (Å): 5.3320 5.3320 5.3320
angles (deg): 60.00 60.00 60.00
Closest atoms and distances in Å follow each position.
Atoms (fractional coordinates):
Ac: 0.7500 0.7500 0.7500  4 Hg 3.27, 4 Pt 3.27
Hg: 0.0000 0.0000 0.0000  4 Ac 3.27, 4 Dy 3.27
Pt: 0.5000 0.5000 0.5000  4 Ac 3.27, 4 Dy 3.27
Dy: 0.2500 0.2500 0.2500  4 Hg 3.27, 4 Pt 3.27

DOS at the Fermi energy = 3.00 states/eV/f.u.
space group = F-43m

---

Number 1: calculated total energy -4.093 eV/atom. Number 2: calculated total energy -2.856 eV/atom. Number 3: calculated total energy -4.455 eV/atom.